# OsPtRh

Crystalline OsPtRh at its relaxed geometry (GGA-PBE, Alexandria via LeMat-Bulk).

```
OsPtRh
1.0
-1.3721 1.9451 4.1068
1.3721 -1.9451 4.1068
1.3721 1.9451 -4.1068
Os Pt Rh
1 1 1
Cartesian
0.0000 0.0000 0.0000
0.0000 0.0000 5.4832
0.0000 0.0000 2.8074
```

Computed properties:
N(E_F)	2.4	states/eV/cell
formation enthalpy at 0 K	0.05	eV/atom
symmetry	No. 44
energy	-24.48	eV for the cell shown

=====

# OsPt2Rh

Crystalline OsPt2Rh at its relaxed geometry (GGA-PBE, Alexandria via LeMat-Bulk).

```
OsPt2Rh
1.0
-1.9445 1.9445 3.9277
1.9445 -1.9445 3.9277
1.9445 1.9445 -3.9277
Os Pt Rh
1 2 1
Cartesian
0.0000 0.0000 0.0000
1.9445 0.0000 1.9638
0.0000 0.0000 3.9277
0.0000 1.9445 1.9638
```

Computed properties:
N(E_F)	3.6	states/eV/cell
formation enthalpy at 0 K	0.05	eV/atom
symmetry	No. 119
energy	-30.45	eV for the cell shown

=====

# OsPt2Rh

Crystalline OsPt2Rh at its relaxed geometry (GGA-PBE, Alexandria via LeMat-Bulk).

```
OsPt2Rh
1.0
2.7139 -4.7783 0.0000
2.7139 4.7783 0.0000
-1.3119 0.0000 2.3506
Os Pt Rh
1 2 1
Cartesian
0.0000 0.0000 0.0000
1.3570 2.3891 0.0000
1.3570 -2.3891 0.0000
2.7139 0.0000 0.0000
```

Computed properties:
N(E_F)	4.8	states/eV/cell
formation enthalpy at 0 K	0.28	eV/atom
symmetry	No. 12
energy	-29.54	eV for the cell shown

=====

# Os2PtRh

Crystalline Os2PtRh at its relaxed geometry (GGA-PBE, Alexandria via LeMat-Bulk).

```
Os2PtRh
1.0
1.3713 0.7917 9.0022
-1.3713 0.7917 9.0022
0.0000 -1.5835 9.0022
Os Pt Rh
2 1 1
Cartesian
0.0000 0.0000 0.0000
0.0000 0.0000 6.8797
0.0000 0.0000 13.5415
0.0000 0.0000 20.1932
```

Computed properties:
N(E_F)	4.7	states/eV/cell
formation enthalpy at 0 K	0.05	eV/atom
symmetry	No. 160
energy	-35.64	eV for the cell shown

=====

# OsPt2Rh

Crystalline OsPt2Rh at its relaxed geometry (GGA-PBE, Alexandria via LeMat-Bulk).

```
OsPt2Rh
1.0
2.7583 -3.9301 0.0000
2.7583 3.9301 0.0000
0.0000 0.0000 2.7485
Os Pt Rh
1 2 1
Cartesian
0.0000 0.0000 0.0000
1.3792 1.9650 1.3743
1.3792 -1.9650 1.3743
2.7583 0.0000 0.0000
```

Computed properties:
N(E_F)	6.2	states/eV/cell
formation enthalpy at 0 K	0.11	eV/atom
symmetry	No. 65
energy	-30.23	eV for the cell shown

=====

# OsPtRh

Crystalline OsPtRh at its relaxed geometry (GGA-PBE, Alexandria via LeMat-Bulk).

```
OsPtRh
1.0
2.7300 0.0000 0.0000
0.0000 2.7300 0.0000
0.0000 0.0000 11.8337
Os Pt Rh
2 2 2
Cartesian
0.6825 0.6825 0.9517
2.0475 2.0475 10.8819
0.6825 0.6825 4.8695
2.0475 2.0475 6.9642
0.6825 0.6825 8.9942
2.0475 2.0475 2.8394
```

Computed properties:
N(E_F)	6.5	states/eV/cell
formation enthalpy at 0 K	-0.01	eV/atom
symmetry	No. 129
energy	-49.30	eV for the cell shown

=====

# OsPt3Rh6

Crystalline OsPt3Rh6 at its relaxed geometry (GGA-PBE, Alexandria via LeMat-Bulk).

```
OsPt3Rh6
1.0
7.2760 0.0000 0.0000
0.0000 4.4781 0.0000
-3.1255 0.0000 9.0033
Os Pt Rh
2 6 12
Cartesian
0.5130 1.1195 0.5840
3.6375 3.3585 8.4193
-1.5971 3.3585 6.5931
0.5293 3.3585 4.7884
-0.5013 1.1195 7.8249
4.6518 3.3585 1.1784
3.6211 1.1195 4.2149
5.7476 1.1195 2.4102
0.0190 3.3585 2.0520
-1.0271 1.1195 5.1036
2.0287 3.3585 0.2927
1.0439 1.1195 3.2670
3.0706 1.1195 1.4959
1.5414 1.1195 6.0102
2.6091 3.3585 2.9931
1.0799 3.3585 7.5074
3.1066 3.3585 5.7363
2.1218 1.1195 8.7106
5.1776 3.3585 3.8997
4.1315 1.1195 6.9513
```

Computed properties:
N(E_F)	35.7	states/eV/cell
formation enthalpy at 0 K	0.04	eV/atom
symmetry	No. 11
energy	-146.16	eV for the cell shown

=====

# Os2PtRh2

Crystalline Os2PtRh2 at its relaxed geometry (GGA-PBE, Alexandria via LeMat-Bulk).

```
Os2PtRh2
1.0
2.7546 0.0000 0.0000
-1.3773 2.3855 0.0000
0.0000 0.0000 11.0823
Os Pt Rh
2 1 2
Cartesian
0.0000 1.5904 4.4852
1.3773 0.7952 6.5970
0.0000 0.0000 0.0000
0.0000 1.5904 8.7554
1.3773 0.7952 2.3269
```

Computed properties:
N(E_F)	5.5	states/eV/cell
formation enthalpy at 0 K	-0.03	eV/atom
symmetry	No. 164
energy	-43.34	eV for the cell shown

=====

# OsPt2Rh

Crystalline OsPt2Rh at its relaxed geometry (GGA-PBE, Alexandria via LeMat-Bulk).

```
OsPt2Rh
1.0
-1.9465 1.9465 3.9209
1.9465 -1.9465 3.9209
1.9465 1.9465 -3.9209
Os Pt Rh
1 2 1
Cartesian
0.0000 0.0000 0.0000
1.9465 0.0000 1.9604
0.0000 1.9465 1.9604
0.0000 0.0000 3.9209
```

Computed properties:
N(E_F)	4.4	states/eV/cell
formation enthalpy at 0 K	0.09	eV/atom
symmetry	No. 139
energy	-30.30	eV for the cell shown

=====

# Os2PtRh

Crystalline Os2PtRh at its relaxed geometry (GGA-PBE, Alexandria via LeMat-Bulk).

```
Os2PtRh
1.0
4.5529 -1.3669 0.0000
4.5529 1.3669 0.0000
-0.8250 0.0000 4.6773
Os Pt Rh
2 1 1
Cartesian
2.0607 0.0000 1.1484
6.2200 0.0000 3.5290
-0.4125 0.0000 2.3387
4.5529 0.0000 0.0000
```

Computed properties:
N(E_F)	4.2	states/eV/cell
formation enthalpy at 0 K	0.13	eV/atom
symmetry	No. 12
energy	-35.33	eV for the cell shown

=====

# OsPtRh2

Crystalline OsPtRh2 at its relaxed geometry (GGA-PBE, Alexandria via LeMat-Bulk).

```
OsPtRh2
1.0
2.7361 0.0000 0.0000
0.0000 3.8887 0.0000
0.0000 0.0000 5.4631
Os Pt Rh
1 1 2
Cartesian
0.0000 0.0000 0.0000
1.3680 1.9444 1.3913
0.0000 0.0000 2.7922
1.3680 1.9444 4.1828
```

Computed properties:
N(E_F)	4.5	states/eV/cell
formation enthalpy at 0 K	0.05	eV/atom
symmetry	No. 25
energy	-31.78	eV for the cell shown

=====

# OsPt2Rh

Crystalline OsPt2Rh at its relaxed geometry (GGA-PBE, Alexandria via LeMat-Bulk).

```
OsPt2Rh
1.0
1.3865 0.8005 8.9930
-1.3865 0.8005 8.9930
0.0000 -1.6010 8.9930
Os Pt Rh
1 2 1
Cartesian
0.0000 0.0000 0.0000
0.0000 0.0000 11.2064
0.0000 0.0000 22.5678
0.0000 0.0000 6.8839
```

Computed properties:
N(E_F)	5.6	states/eV/cell
formation enthalpy at 0 K	0.03	eV/atom
symmetry	No. 160
energy	-30.53	eV for the cell shown

=====

# OsPt2Rh

Crystalline OsPt2Rh at its relaxed geometry (GGA-PBE, Alexandria via LeMat-Bulk).

```
OsPt2Rh
1.0
2.7673 0.0000 0.0000
0.0000 2.7673 0.0000
0.0000 0.0000 7.7883
Os Pt Rh
1 2 1
Cartesian
0.0000 0.0000 0.0000
1.3837 1.3837 1.9050
1.3837 1.3837 5.8833
0.0000 0.0000 3.8941
```

Computed properties:
N(E_F)	4.9	states/eV/cell
formation enthalpy at 0 K	0.07	eV/atom
symmetry	No. 123
energy	-30.38	eV for the cell shown

=====

# OsPt2Rh6

Crystalline OsPt2Rh6 at its relaxed geometry (GGA-PBE, Alexandria via LeMat-Bulk).

```
OsPt2Rh6
1.0
2.7405 0.0000 0.0000
-1.3703 2.3734 0.0000
0.0000 0.0000 20.3555
Os Pt Rh
1 2 6
Cartesian
0.0000 0.0000 0.0000
0.0000 1.5823 6.6796
0.0000 1.5823 13.6759
0.0000 0.0000 4.3550
0.0000 0.0000 8.9564
0.0000 0.0000 11.3991
0.0000 0.0000 16.0005
0.0000 1.5823 2.1440
0.0000 1.5823 18.2115
```

Computed properties:
N(E_F)	12.7	states/eV/cell
formation enthalpy at 0 K	0.07	eV/atom
symmetry	No. 187
energy	-66.78	eV for the cell shown

=====

# Os2PtRh2

Crystalline Os2PtRh2 at its relaxed geometry (GGA-PBE, Alexandria via LeMat-Bulk).

```
Os2PtRh2
1.0
-1.7839 1.7839 6.3371
1.7839 -1.7839 6.3371
1.7839 1.7839 -6.3371
Os Pt Rh
2 1 2
Cartesian
1.7839 0.0000 3.1685
0.0000 1.7839 3.1685
0.0000 0.0000 0.0000
0.0000 0.0000 5.0833
0.0000 0.0000 7.5908
```

Computed properties:
N(E_F)	5.5	states/eV/cell
formation enthalpy at 0 K	0.56	eV/atom
symmetry	No. 139
energy	-40.41	eV for the cell shown

=====

# Os2PtRh

Crystalline Os2PtRh at its relaxed geometry (GGA-PBE, Alexandria via LeMat-Bulk).

```
Os2PtRh
1.0
2.7343 0.0000 0.0000
0.0000 2.7343 0.0000
0.0000 0.0000 7.8143
Os Pt Rh
2 1 1
Cartesian
0.0000 0.0000 0.0000
1.3671 1.3671 1.8484
0.0000 0.0000 3.8536
1.3671 1.3671 5.9099
```

Computed properties:
N(E_F)	3.4	states/eV/cell
formation enthalpy at 0 K	0.03	eV/atom
symmetry	No. 99
energy	-35.72	eV for the cell shown

=====

# OsPt2Rh4

Crystalline OsPt2Rh4 at its relaxed geometry (GGA-PBE, Alexandria via LeMat-Bulk).

```
OsPt2Rh4
1.0
1.3609 0.7857 16.3838
-1.3609 0.7857 16.3838
0.0000 -1.5714 16.3838
Os Pt Rh
1 2 4
Cartesian
0.0000 0.0000 0.0000
0.0000 0.0000 11.6098
0.0000 0.0000 37.5415
0.0000 0.0000 7.0869
0.0000 0.0000 14.2239
0.0000 0.0000 34.9275
0.0000 0.0000 42.0644
```

Computed properties:
N(E_F)	9.4	states/eV/cell
formation enthalpy at 0 K	0.08	eV/atom
symmetry	No. 166
energy	-52.14	eV for the cell shown

=====

# OsPtRh2

Crystalline OsPtRh2 at its relaxed geometry (GGA-PBE, Alexandria via LeMat-Bulk).

```
OsPtRh2
1.0
1.3727 0.7926 8.9455
-1.3727 0.7926 8.9455
0.0000 -1.5851 8.9455
Os Pt Rh
1 1 2
Cartesian
0.0000 0.0000 0.0000
0.0000 0.0000 13.4182
0.0000 0.0000 6.8084
0.0000 0.0000 20.0279
```

Computed properties:
N(E_F)	5.4	states/eV/cell
formation enthalpy at 0 K	-0.01	eV/atom
symmetry	No. 166
energy	-32.03	eV for the cell shown

=====

# OsPt2Rh4

Crystalline OsPt2Rh4 at its relaxed geometry (GGA-PBE, Alexandria via LeMat-Bulk).

```
OsPt2Rh4
1.0
1.3589 -6.1979 0.0000
1.3589 6.1979 0.0000
0.0000 0.0000 12.9425
Os Pt Rh
2 4 8
Cartesian
1.3589 3.7020 9.7069
1.3589 -3.7020 3.2356
1.3589 1.6977 8.1073
1.3589 1.6977 11.3064
1.3589 -1.6977 1.6361
1.3589 -1.6977 4.8352
0.0000 0.0000 0.0000
0.0000 0.0000 6.4712
1.3589 2.1331 1.0229
1.3589 2.1331 5.4484
1.3589 0.3596 3.2356
1.3589 -0.3596 9.7069
1.3589 -2.1331 7.4941
1.3589 -2.1331 11.9196
```

Computed properties:
N(E_F)	17.4	states/eV/cell
formation enthalpy at 0 K	0.20	eV/atom
symmetry	No. 63
energy	-102.62	eV for the cell shown

=====

# OsPtRh2

Crystalline OsPtRh2 at its relaxed geometry (GGA-PBE, Alexandria via LeMat-Bulk).

```
OsPtRh2
1.0
2.6967 0.0000 0.0000
0.0000 4.6930 0.0000
0.0000 0.0000 4.7295
Os Pt Rh
1 1 2
Cartesian
0.0000 0.0000 0.0000
1.3484 0.0000 2.3647
0.0000 2.3465 2.3647
1.3484 2.3465 0.0000
```

Computed properties:
N(E_F)	5.2	states/eV/cell
formation enthalpy at 0 K	0.32	eV/atom
symmetry	No. 47
energy	-30.68	eV for the cell shown